# 1
A relaxed structure of Nd8Y3Er2. Source: Alexandria, functional GGA-PBE.

Summary:
Magnetization in μB per cell: 0.000
DOS(E_F) in states/eV per cell: 36.1
Mass density in g/cm3: 6.40
Raw total energy in eV per atom: -4.927

Cell lengths 20.4020, 7.7537, 5.7608 Å; angles 90.00, 90.02, 90.00 degrees
Space group C2/m (No. 12)
Unique sites:
Nd: 0.1069 0.2049 0.0002 x8
Nd: 0.1326 0.5000 0.4996 x4
Nd: 0.1736 0.0000 0.5006 x4
Y: 0.0000 0.2149 0.5000 x4
Y: 0.0000 0.5000 0.0000 x2
Er: 0.2400 0.5000 0.9992 x4

***

# 2
A relaxed structure of NdYEr. Source: Alexandria, functional GGA-PBE.

Summary:
Magnetization in μB per cell: 0.000
DOS(E_F) in states/eV per cell: 5.6
Mass density in g/cm3: 6.81
Polymorph energy (0 for the lowest one) in meV/atom: 69

Cell lengths 5.6492, 5.6492, 3.5326 Å; angles 90.00, 90.00, 120.00 degrees
Space group P-6m2 (No. 187)
Unique sites:
Nd: 0.0000 0.0000 0.0000 x1
Y: 0.6667 0.3333 0.5000 x1
Er: 0.3333 0.6667 0.0000 x1

***

# 3
A relaxed structure of Nd4Y5Er. Source: Alexandria, functional GGA-PBE.

Summary:
Magnetization in μB per cell: 0.000
DOS(E_F) in states/eV per cell: 28.9
Mass density in g/cm3: 5.70
Polymorph energy (0 for the lowest one) in meV/atom: 167

Cell lengths 17.3725, 3.5570, 11.2091 Å; angles 90.00, 90.20, 90.00 degrees
Space group C2/m (No. 12)
Unique sites:
Nd: 0.0296 0.0000 0.2486 x4
Nd: 0.1544 0.5000 0.7500 x4
Y: 0.0000 0.5000 0.5000 x2
Y: 0.1735 0.0000 0.0545 x4
Y: 0.1743 0.0000 0.4431 x4
Er: 0.0000 0.5000 0.0000 x2

***

# 4
A relaxed structure of NdYEr5. Source: Alexandria, functional GGA-PBE.

Summary:
Magnetization in μB per cell: 0.000
DOS(E_F) in states/eV per cell: 43.2
Mass density in g/cm3: 7.80
Polymorph energy (0 for the lowest one) in meV/atom: 2

Cell lengths 16.3162, 6.5417, 10.5729 Å; angles 90.00, 126.20, 90.00 degrees
Space group C2/c (No. 15)
Unique sites:
Nd: 0.2500 0.2500 0.0000 x4
Y: 0.0000 0.0131 0.7500 x4
Er: 0.0000 0.4898 0.7500 x4
Er: 0.0910 0.2560 0.0973 x8
Er: 0.1679 0.2477 0.5850 x8

***

# 5
A relaxed structure of Nd2Y4Er. Source: Alexandria, functional GGA-PBE.

Summary:
Magnetization in μB per cell: 0.000
DOS(E_F) in states/eV per cell: 12.4
Mass density in g/cm3: 5.81
Polymorph energy (0 for the lowest one) in meV/atom: 0

Cell lengths 3.5762, 8.6834, 8.8175 Å; angles 119.38, 90.06, 101.86 degrees
Space group P-1 (No. 2)
Unique sites:
Nd: 0.0691 0.1403 0.4325 x2
Y: 0.2973 0.5927 0.7084 x2
Y: 0.3546 0.7107 0.1543 x2
Er: 0.0000 0.0000 0.0000 x1

***

# 6
A relaxed structure of Nd2Y7Er4. Source: Alexandria, functional GGA-PBE.

Summary:
Magnetization in μB per cell: 0.002
DOS(E_F) in states/eV per cell: 36.1
Mass density in g/cm3: 6.15
Raw total energy in eV per atom: -5.486

Cell lengths 6.3583, 11.3713, 11.8142 Å; angles 90.00, 92.75, 90.00 degrees
Space group Cm (No. 8)
Unique sites:
Nd: 0.0000 0.1640 0.0000 x4
Y: 0.0000 0.5000 0.0001 x2
Y: 0.1808 0.0000 0.2619 x2
Y: 0.1825 0.3206 0.2364 x4
Y: 0.3174 0.1792 0.7638 x4
Y: 0.3194 0.5000 0.7381 x2
Er: 0.0003 0.2263 0.5002 x4
Er: 0.2170 0.5000 0.4464 x2
Er: 0.2850 0.0000 0.5533 x2

***

# 7
A relaxed structure of Nd12Y2Er5. Source: Alexandria, functional GGA-PBE.

Summary:
Magnetization in μB per cell: 0.002
DOS(E_F) in states/eV per cell: 54.1
Mass density in g/cm3: 7.00
Polymorph energy (0 for the lowest one) in meV/atom: 0

Cell lengths 15.9914, 9.3181, 8.7420 Å; angles 90.00, 91.52, 90.00 degrees
Space group C2/m (No. 12)
Unique sites:
Nd: 0.0629 0.0000 0.3423 x4
Nd: 0.0858 0.5000 0.8837 x4
Nd: 0.1275 0.1957 0.6749 x8
Nd: 0.1533 0.3179 0.2377 x8
Y: 0.0000 0.1723 0.0000 x4
Er: 0.0000 0.5000 0.5000 x2
Er: 0.2007 0.0000 0.0255 x4
Er: 0.2305 0.5000 0.5682 x4

***

# 8
A relaxed structure of Nd3Y3Er2. Source: Alexandria, functional GGA-PBE.

Summary:
Magnetization in μB per cell: 0.000
DOS(E_F) in states/eV per cell: 26.8
Mass density in g/cm3: 6.44
Raw total energy in eV per atom: -5.274

Cell lengths 16.4264, 5.7236, 6.0220 Å; angles 90.00, 109.73, 90.00 degrees
Space group C2/m (No. 12)
Unique sites:
Nd: 0.0000 0.0000 0.0000 x2
Nd: 0.1358 0.0000 0.6976 x4
Y: 0.0000 0.5000 0.5000 x2
Y: 0.1336 0.5000 0.0835 x4
Er: 0.2493 0.0000 0.3174 x4

***

# 9
A relaxed structure of Nd2Y6Er5. Source: Alexandria, functional GGA-PBE.

Summary:
Magnetization in μB per cell: 0.000
DOS(E_F) in states/eV per cell: 35.5
Mass density in g/cm3: 6.48
Raw total energy in eV per atom: -5.369

Cell lengths 11.7323, 20.2048, 3.5858 Å; angles 90.00, 90.00, 90.00 degrees
Space group Pbam (No. 55)
Unique sites:
Nd: 0.1643 0.2142 0.0000 x4
Y: 0.0570 0.9208 0.0000 x4
Y: 0.0834 0.6327 0.0000 x4
Y: 0.1766 0.3725 0.5000 x4
Er: 0.0000 0.5000 0.5000 x2
Er: 0.0951 0.7760 0.5000 x4
Er: 0.1996 0.0494 0.5000 x4

***

# 10
A relaxed structure of Nd5Y3Er3. Source: Alexandria, functional GGA-PBE.

Summary:
Magnetization in μB per cell: 0.000
DOS(E_F) in states/eV per cell: 16.7
Mass density in g/cm3: 6.46
Polymorph energy (0 for the lowest one) in meV/atom: 0

Cell lengths 11.2919, 11.2919, 3.4703 Å; angles 90.00, 90.00, 120.00 degrees
Space group P-62m (No. 189)
Unique sites:
Nd: 0.0000 0.3374 0.0000 x3
Nd: 0.3333 0.6667 0.0000 x2
Y: 0.0000 0.5957 0.5000 x3
Er: 0.0000 0.8414 0.0000 x3

***

# 11
A relaxed structure of NdY2Er4. Source: Alexandria, functional GGA-PBE.

Summary:
Magnetization in μB per cell: 0.000
DOS(E_F) in states/eV per cell: 10.6
Mass density in g/cm3: 7.40
Polymorph energy (0 for the lowest one) in meV/atom: 0

Cell lengths 3.5150, 8.5045, 8.7370 Å; angles 118.74, 90.06, 101.90 degrees
Space group P-1 (No. 2)
Unique sites:
Nd: 0.0000 0.0000 0.0000 x1
Y: 0.0703 0.1412 0.4304 x2
Er: 0.2949 0.5885 0.7067 x2
Er: 0.3555 0.7128 0.1638 x2

***

# 12
A relaxed structure of Nd2Y6Er3. Source: Alexandria, functional GGA-PBE.

Summary:
Magnetization in μB per cell: 0.000
DOS(E_F) in states/eV per cell: 34.3
Mass density in g/cm3: 5.85
Polymorph energy (0 for the lowest one) in meV/atom: 97

Cell lengths 4.7375, 4.7375, 33.4914 Å; angles 90.00, 90.00, 90.00 degrees
Space group I4/mmm (No. 139)
Unique sites:
Nd: 0.0000 0.0000 0.0455 x4
Y: 0.0000 0.0000 0.1986 x4
Y: 0.0000 0.5000 0.1220 x8
Er: 0.0000 0.0000 0.3009 x4
Er: 0.0000 0.0000 0.5000 x2

***

Q: mass density of number 12 (Nd2Y6Er3)?
A: 5.85 g/cm3